VASP calculation (PBE-GGA) on an optimized crystal structure of CdP2O6.

abc: 7.163 9.820 13.854
angles: 90.00 90.00 90.00
Element x y z (fractional)
O1 0.241 0.101 0.324
O2 0.741 0.399 0.676
O3 0.137 0.154 0.105
O4 0.642 0.686 0.588
O5 0.639 0.098 0.825
O6 0.142 0.686 0.912
O7 0.241 0.399 0.824
O8 0.139 0.098 0.675
O9 0.343 0.638 0.497
O10 0.157 0.362 0.997
O11 0.157 0.138 0.497
O12 0.642 0.814 0.088
O13 0.858 0.186 0.588
O14 0.741 0.101 0.176
O15 0.639 0.402 0.325
O16 0.858 0.314 0.088
O17 0.759 0.899 0.676
O18 0.358 0.186 0.912
O19 0.637 0.154 0.395
O20 0.137 0.346 0.605
O21 0.863 0.654 0.395
O22 0.343 0.862 0.997
O23 0.361 0.902 0.175
O24 0.637 0.346 0.895
O25 0.759 0.601 0.176
O26 0.358 0.314 0.412
O27 0.139 0.402 0.175
O28 0.363 0.846 0.605
O29 0.861 0.902 0.325
O30 0.361 0.598 0.675
O31 0.259 0.601 0.324
O32 0.843 0.638 0.003
O33 0.981 0.799 0.128
O34 0.863 0.846 0.895
O35 0.519 0.299 0.128
O36 0.843 0.862 0.503
O37 0.019 0.201 0.872
O38 0.363 0.654 0.105
O39 0.981 0.701 0.628
O40 0.142 0.814 0.412
O41 0.019 0.299 0.372
O42 0.519 0.201 0.628
O43 0.259 0.899 0.824
O44 0.861 0.598 0.825
O45 0.481 0.799 0.372
O46 0.657 0.362 0.503
O47 0.657 0.138 0.003
O48 0.481 0.701 0.872
P1 0.583 0.200 0.902
P2 0.083 0.200 0.598
P3 0.417 0.700 0.598
P4 0.417 0.800 0.098
P5 0.186 0.212 0.394
P6 0.583 0.300 0.402
P7 0.814 0.712 0.106
P8 0.314 0.712 0.394
P9 0.814 0.788 0.606
P10 0.686 0.212 0.106
P11 0.686 0.288 0.606
P12 0.083 0.300 0.098
P13 0.917 0.800 0.402
P14 0.186 0.288 0.894
P15 0.314 0.788 0.894
P16 0.917 0.700 0.902
Cd1 0.949 0.492 0.294
Cd2 0.051 0.992 0.206
Cd3 0.051 0.508 0.706
Cd4 0.449 0.008 0.706
Cd5 0.551 0.992 0.294
Cd6 0.949 0.008 0.794
Cd7 0.551 0.508 0.794
Cd8 0.449 0.492 0.206

- Total magnetization: 0.0000 μB per atom
- Electronic total energy: -6.58 eV/atom
- ΔE_f (raw): -1.974 eV/atom
- V: 974.5 Å³ per cell